A relaxed structure of Pm5Pt3. Source: the Alexandria database, functional PBE-GGA.

Geometry as extended XYZ:
```
16
Lattice="-5.6959 5.6959 3.2098 5.6959 -5.6959 3.2098 5.6959 5.6959 -3.2098" Properties=species:S:1:pos:R:3 pbc="T T T"
Pm 9.0208 0.9493 0.0000
Pm 0.9493 2.3710 0.0000
Pm 5.6959 0.0000 1.6049
Pm 6.6452 3.3249 0.0000
Pm 3.3249 4.7466 0.0000
Pm 2.3710 0.9493 3.2098
Pm -0.9493 2.3710 3.2098
Pm 0.0000 5.6959 1.6049
Pm 4.7466 3.3249 3.2098
Pm -3.3249 4.7466 3.2098
Pt 3.9087 1.7872 0.0000
Pt 0.0000 0.0000 1.6049
Pt 3.9087 -1.7872 3.2098
Pt 1.7872 7.4831 0.0000
Pt 0.0000 0.0000 4.8148
Pt 1.7872 3.9087 3.2098
```

Calculated values
ΔE_f = -82.0 kJ/mol of atoms
M_tot = 0.00 μB/cell
D(E_F) = 18.18 states/eV per cell